Entry 1:
This record from the Open Quantum Materials Database describes CdBiSbO after structural relaxation. The functional is PBE-GGA.

Cell lengths 11.4400, 11.4400, 11.4400 Å; angles 22.10, 22.10, 22.10 degrees
Closest atoms and distances in Å follow each position.
Element x y z (fractional)
Cd 0.1933 0.1933 0.1933  4 Sb 2.83-3.05, 3 Cd 3.09
Cd 0.8067 0.8067 0.8067  4 Sb 2.83-3.05, 3 Cd 3.09
Bi 0.3748 0.3748 0.3748  1 O 2.22
Bi 0.6252 0.6252 0.6252  1 O 2.22
Sb 0.1021 0.1021 0.1021  4 Cd 2.83-3.05
Sb 0.8979 0.8979 0.8979  4 Cd 2.83-3.05
O 0.3086 0.3086 0.3086  1 Bi 2.22
O 0.6914 0.6914 0.6914  1 Bi 2.22

## Properties
DFT total energy (eV per formula unit): -15.5
Calculated density (Mg/m³): 8.21
Energy relative to the lowest polymorph listed for this composition (kJ/mol of formula units): 24

=====

Entry 2:
This record from the Open Quantum Materials Database describes Gd3Mg3Ga2Au after structural relaxation. The functional is PBE-GGA.

Cell lengths 7.4035, 7.4035, 4.3786 Å; angles 90.00, 90.00, 120.00 degrees
Closest atoms and distances in Å follow each position.
Element x y z (fractional)
Gd 0.0000 0.4179 0.0000  1 Au 3.09, 4 Ga 3.12, 2 Mg 3.33
Gd 0.4179 0.0000 0.0000  1 Au 3.09, 4 Ga 3.12, 2 Mg 3.33
Gd 0.5821 0.5821 0.0000  1 Au 3.09, 4 Ga 3.12, 2 Mg 3.33
Mg 0.0000 0.7567 0.5000  2 Au 2.84, 2 Ga 2.86, 2 Mg 3.12
Mg 0.2433 0.2433 0.5000  2 Au 2.84, 2 Ga 2.86, 2 Mg 3.12
Mg 0.7567 0.0000 0.5000  2 Au 2.84, 2 Ga 2.86, 2 Mg 3.12
Ga 0.3333 0.6667 0.5000  3 Mg 2.86, 6 Gd 3.12
Ga 0.6667 0.3333 0.5000  3 Mg 2.86, 6 Gd 3.12
Au 0.0000 0.0000 0.0000  6 Mg 2.84, 3 Gd 3.09

## Properties
DFT total energy (eV per formula unit): -33.2
Calculated density (Mg/m³): 7.04

=====

Entry 3:
This record from the Open Quantum Materials Database describes Li3HIr2 after structural relaxation. The functional is PBE-GGA.

Cell lengths 2.6494, 2.6494, 11.1144 Å; angles 90.00, 90.00, 120.00 degrees
Closest atoms and distances in Å follow each position.
Element x y z (fractional)
Li 0.0000 0.0000 0.0000  6 Li 2.65, 6 Ir 2.67
Li 0.3333 0.6667 0.6051  3 H 1.92
Li 0.6667 0.3333 0.3949  3 H 1.92
H 0.0000 0.0000 0.5000  6 Li 1.92
Ir 0.3333 0.6667 0.1968  6 Ir 2.65, 6 Li 2.67-2.68
Ir 0.6667 0.3333 0.8032  6 Ir 2.65, 6 Li 2.67-2.68

## Properties
DFT total energy (eV per formula unit): -28.5
Calculated density (Mg/m³): 9.99

=====

Entry 4:
This record from the Open Quantum Materials Database describes PuNi4Au after structural relaxation. The functional is PBE-GGA.

Cell lengths 4.8897, 4.8897, 4.8897 Å; angles 60.00, 60.00, 60.00 degrees
Closest atoms and distances in Å follow each position.
Element x y z (fractional)
Pu 0.0000 0.0000 0.0000  12 Ni 2.87, 4 Au 2.99
Ni 0.3754 0.3754 0.3754  6 Ni 2.44-2.45
Ni 0.3754 0.3754 0.8738  6 Ni 2.44-2.45
Ni 0.3754 0.8738 0.3754  6 Ni 2.44-2.45
Ni 0.8738 0.3754 0.3754  6 Ni 2.44-2.45
Au 0.7500 0.7500 0.7500  12 Ni 2.87, 4 Pu 2.99

## Properties
Energy of formation (eV/atom): -0.0021
DFT total energy (eV per formula unit): -39.7
Calculated density (Mg/m³): 13.57

=====

Entry 5:
This record from the Open Quantum Materials Database describes BaNd2In3Ge2Pd after structural relaxation. The functional is PBE-GGA.

Cell lengths 4.5250, 7.7511, 7.7511 Å; angles 120.98, 90.00, 90.00 degrees
Closest atoms and distances in Å follow each position.
Element x y z (fractional)
Ba 0.0000 0.0000 0.0000  1 Pd 3.27, 4 Ge 3.37, 6 In 3.52-3.62
Nd 0.0000 0.4129 0.8203  1 Pd 3.10, 4 Ge 3.18-3.22
Nd 0.0000 0.8203 0.4129  1 Pd 3.10, 4 Ge 3.18-3.22
In 0.5000 0.1771 0.4219  2 Ge 2.83-3.05, 2 Pd 2.97, 1 In 3.12
In 0.5000 0.4219 0.1771  2 Ge 2.83-3.05, 2 Pd 2.97, 1 In 3.12
In 0.5000 0.6461 0.6461  2 Pd 2.81, 2 In 3.12
Ge 0.5000 0.0906 0.7346  3 In 2.83-3.15
Ge 0.5000 0.7346 0.0906  3 In 2.83-3.15
Pd 0.0000 0.4287 0.4287  6 In 2.81-2.97, 2 Nd 3.10

## Properties
DFT total energy (eV per formula unit): -39.8
Calculated density (Mg/m³): 7.28

=====

Entry 6:
This record from the Open Quantum Materials Database describes GaCoGe after structural relaxation. The functional is PBE-GGA.

Cell lengths 3.9933, 3.9933, 3.9933 Å; angles 60.00, 60.00, 60.00 degrees
Closest atoms and distances in Å follow each position.
Element x y z (fractional)
Ga 0.0000 0.0000 0.0000  4 Co 2.45
Co 0.2500 0.2500 0.2500  4 Ge 2.45, 4 Ga 2.45
Ge 0.5000 0.5000 0.5000  4 Co 2.45

## Properties
DFT total energy (eV per formula unit): -15.2
Calculated density (Mg/m³): 7.42
Energy relative to the lowest polymorph listed for this composition (kJ/mol of formula units): 0

=====

Entry 7:
This record from the Open Quantum Materials Database describes ErTm2In3CuGe2 after structural relaxation. The functional is PBE-GGA.

Cell lengths 4.1705, 7.3643, 7.3643 Å; angles 120.03, 90.00, 90.00 degrees
Closest atoms and distances in Å follow each position.
Element x y z (fractional)
Er 0.0000 0.0000 0.0000  1 Cu 2.97, 4 Ge 3.07, 4 In 3.32
Tm 0.0000 0.1943 0.5973  1 Cu 2.96, 4 Ge 3.06
Tm 0.0000 0.5973 0.1943  1 Cu 2.96, 4 Ge 3.06
In 0.5000 0.3532 0.3532  2 Cu 2.75, 2 Ge 2.84
In 0.5000 0.5970 0.8407  2 Cu 2.75, 2 Ge 2.84-2.85
In 0.5000 0.8407 0.5970  2 Cu 2.75, 2 Ge 2.84-2.85
Cu 0.0000 0.5960 0.5960  6 In 2.75, 2 Tm 2.96, 1 Er 2.97
Ge 0.5000 0.2645 0.9303  3 In 2.84-2.85, 4 Tm 3.06, 2 Er 3.07
Ge 0.5000 0.9303 0.2645  3 In 2.84-2.85, 4 Tm 3.06, 2 Er 3.07

## Properties
DFT total energy (eV per formula unit): -39.3
Calculated density (Mg/m³): 8.98

=====

Entry 8:
This record from the Open Quantum Materials Database describes Gd2ErMg3CdHg2 after structural relaxation. The functional is PBE-GGA.

Cell lengths 4.6662, 7.4180, 7.4180 Å; angles 119.54, 90.00, 90.00 degrees
Closest atoms and distances in Å follow each position.
Element x y z (fractional)
Gd 0.0000 0.2125 0.7875  1 Cd 3.17, 4 Hg 3.23, 2 Mg 3.39
Gd 0.0000 0.7875 0.2125  1 Cd 3.17, 4 Hg 3.23, 2 Mg 3.39
Er 0.0000 0.3614 0.3614  1 Cd 3.15, 4 Hg 3.20, 2 Mg 3.41
Mg 0.5000 0.0283 0.0283  2 Hg 2.87, 2 Cd 2.97, 2 Mg 3.13
Mg 0.5000 0.5439 0.7861  2 Hg 2.87-2.89, 2 Cd 2.94, 2 Mg 3.10-3.13
Mg 0.5000 0.7861 0.5439  2 Hg 2.87-2.89, 2 Cd 2.94, 2 Mg 3.10-3.13
Cd 0.0000 0.7829 0.7829  6 Mg 2.94-2.97, 1 Er 3.15, 2 Gd 3.17
Hg 0.5000 0.1227 0.4526  3 Mg 2.87-2.89, 2 Er 3.20
Hg 0.5000 0.4526 0.1227  3 Mg 2.87-2.89, 2 Er 3.20

## Properties
DFT total energy (eV per formula unit): -23.2
Calculated density (Mg/m³): 7.94